The following is a DFT calculation (PBE) of a relaxed structure of RbTl2Cd.

DFT formation energy in eV per atom: -0.07
Density in Mg/m³: 7.05
Crystal system: monoclinic
Distance to the lowest polymorph of the same formula in meV per atom: 11

Cell: 6.7379 5.1810 8.7693 Å, 90.00 111.05 90.00°
Sites, in units of the cell vectors:
Rb  0.2107  0.2500  0.4229
Rb  0.7893  0.7500  0.5771
Tl  0.1401  0.2500  0.8903
Tl  0.3941  0.7500  0.7894
Tl  0.6059  0.2500  0.2106
Tl  0.8599  0.7500  0.1097
Cd  0.3300  0.7500  0.1303
Cd  0.6700  0.2500  0.8697